Record 1
# SrTaZn2 PBE-GGA relaxed
# **Energy of formation from the pure elements**: 0.64 eV/atom
# **Final energy**: -3.384 eV per atom
# **DOS at the Fermi energy**: 0.932 states/eV/atom
data_SrTaZn2
_cell_length_a 4.1700
_cell_length_b 4.1700
_cell_length_c 9.8015
_cell_angle_alpha 90.00
_cell_angle_beta 90.00
_cell_angle_gamma 90.00
_symmetry_space_group_name_H-M 'I -4 m 2'
_symmetry_Int_Tables_number 119
_symmetry_space_group_name_Hall 'I -4 -2'
loop_
_atom_site_label
_atom_site_type_symbol
_atom_site_fract_x
_atom_site_fract_y
_atom_site_fract_z
_atom_site_occupancy
Sr1 Sr 0.0000 0.0000 0.0000 1
Ta1 Ta 0.0000 0.5000 0.7500 1
Zn1 Zn 0.0000 0.0000 0.5000 1
Zn2 Zn 0.0000 0.5000 0.2500 1

***

Record 2
# SrTaZn2 PBE-GGA relaxed
# **Energy of formation from the pure elements**: 0.18 eV/atom
# **Final energy**: -3.845 eV per atom
# **DOS at the Fermi energy**: 0.679 states/eV/atom
data_SrTaZn2
_cell_length_a 3.0403
_cell_length_b 3.9114
_cell_length_c 7.0345
_cell_angle_alpha 90.00
_cell_angle_beta 90.00
_cell_angle_gamma 90.00
_symmetry_space_group_name_H-M 'P m m m'
_symmetry_Int_Tables_number 47
_symmetry_space_group_name_Hall '-P 2 2'
loop_
_atom_site_label
_atom_site_type_symbol
_atom_site_fract_x
_atom_site_fract_y
_atom_site_fract_z
_atom_site_occupancy
Sr1 Sr 0.0000 0.0000 0.0000 1
Ta1 Ta 0.0000 0.0000 0.5000 1
Zn1 Zn 0.5000 0.5000 0.3105 1